(1)
! ZrTlPd, relaxed, DFT PBE; values from VASP
! ρ = 10.9 Mg/m³
&SYSTEM
  ibrav = 0, nat = 3, ntyp = 3
/
ATOMIC_SPECIES
Tl 204.38 Tl.upf
Zr 91.22 Zr.upf
Pd 106.42 Pd.upf
CELL_PARAMETERS angstrom
3.305 0.000 0.000
0.000 3.305 0.000
-1.653 -1.653 5.619
ATOMIC_POSITIONS angstrom
Tl 1.653 1.653 1.211
Zr 0.000 0.000 3.357
Pd 1.653 1.653 4.985

---

(2)
! ZrTl2Pd, relaxed, DFT PBE; values from VASP
! ρ = 11.8 Mg/m³
&SYSTEM
  ibrav = 0, nat = 4, ntyp = 3
/
ATOMIC_SPECIES
Tl 204.38 Tl.upf
Zr 91.22 Zr.upf
Pd 106.42 Pd.upf
CELL_PARAMETERS angstrom
1.847 -3.928 -2.350
-3.032 -3.474 -1.759
-0.635 -0.486 -4.870
ATOMIC_POSITIONS angstrom
Tl -0.455 -1.972 -2.245
Tl -1.366 -5.916 -6.734
Zr 0.000 0.000 0.000
Pd -0.910 -3.944 -4.489

---

(3)
! ZrTlPd, relaxed, DFT PBE; values from VASP
! ρ = 11.1 Mg/m³
&SYSTEM
  ibrav = 0, nat = 3, ntyp = 3
/
ATOMIC_SPECIES
Tl 204.38 Tl.upf
Zr 91.22 Zr.upf
Pd 106.42 Pd.upf
CELL_PARAMETERS angstrom
-2.183 -0.257 -2.127
1.606 -4.345 -1.123
-3.338 0.511 3.365
ATOMIC_POSITIONS angstrom
Tl -0.363 -0.043 -0.353
Zr -1.497 -2.898 -1.045
Pd -2.055 -1.151 1.513

---

(4)
! Zr2TlPd, relaxed, DFT PBE; values from VASP
! ρ = 10.0 Mg/m³
&SYSTEM
  ibrav = 0, nat = 4, ntyp = 3
/
ATOMIC_SPECIES
Tl 204.38 Tl.upf
Zr 91.22 Zr.upf
Pd 106.42 Pd.upf
CELL_PARAMETERS angstrom
4.335 0.000 0.000
0.000 4.346 0.000
0.000 0.000 4.346
ATOMIC_POSITIONS angstrom
Tl 2.167 0.000 0.000
Zr 0.000 0.000 2.173
Zr 0.000 2.173 0.000
Pd 2.167 2.173 2.173

---

(5)
! Zr2TlPd, relaxed, DFT PBE; values from VASP
! ρ = 9.0 Mg/m³
&SYSTEM
  ibrav = 0, nat = 8, ntyp = 3
/
ATOMIC_SPECIES
Tl 204.38 Tl.upf
Zr 91.22 Zr.upf
Pd 106.42 Pd.upf
CELL_PARAMETERS angstrom
4.190 0.000 0.000
0.000 4.190 0.000
2.095 2.095 10.315
ATOMIC_POSITIONS angstrom
Tl 0.000 0.000 0.000
Tl 4.190 2.095 5.158
Zr 3.152 1.047 2.579
Zr 1.038 3.142 2.579
Zr 3.142 3.132 7.736
Zr 5.237 5.247 7.736
Pd 2.095 2.095 0.000
Pd 2.095 4.190 5.158

---

(6)
! ZrTl3Pd, relaxed, DFT PBE; values from VASP
! ρ = 9.6 Mg/m³
&SYSTEM
  ibrav = 0, nat = 5, ntyp = 3
/
ATOMIC_SPECIES
Tl 204.38 Tl.upf
Zr 91.22 Zr.upf
Pd 106.42 Pd.upf
CELL_PARAMETERS angstrom
-3.493 -2.086 -3.224
-1.140 -3.598 3.564
-3.667 3.106 1.963
ATOMIC_POSITIONS angstrom
Tl -0.570 -1.799 1.782
Tl -1.833 1.553 0.981
Tl -1.747 -1.043 -1.612
Zr -4.150 -1.289 1.152
Pd 0.000 0.000 0.000

---

(7)
! Zr12Tl3Pd, relaxed, DFT PBE; values from VASP
! ρ = 8.5 Mg/m³
&SYSTEM
  ibrav = 0, nat = 16, ntyp = 3
/
ATOMIC_SPECIES
Zr 91.22 Zr.upf
Tl 204.38 Tl.upf
Pd 106.42 Pd.upf
CELL_PARAMETERS angstrom
-1.922 2.777 2.916
-1.556 -3.492 2.301
14.779 -0.103 9.836
ATOMIC_POSITIONS angstrom
Zr -1.739 -0.358 2.609
Zr 1.881 -0.383 5.017
Zr 5.651 -0.409 7.527
Zr 9.421 -0.436 10.036
Zr 0.785 1.376 2.620
Zr 4.559 1.350 5.132
Zr 8.299 1.324 7.621
Zr 12.073 1.298 10.133
Zr 0.968 -1.758 2.312
Zr 4.742 -1.785 4.824
Zr 8.482 -1.811 7.313
Zr 12.256 -1.837 9.825
Tl 3.624 -0.025 2.412
Tl 7.390 -0.052 4.918
Tl 11.156 -0.078 7.425
Pd 0.000 0.000 0.000

---

(8)
! Zr3TlPd4, relaxed, DFT PBE; values from VASP
! ρ = 9.9 Mg/m³
&SYSTEM
  ibrav = 0, nat = 16, ntyp = 3
/
ATOMIC_SPECIES
Tl 204.38 Tl.upf
Pd 106.42 Pd.upf
Zr 91.22 Zr.upf
CELL_PARAMETERS angstrom
-0.653 -1.424 -4.723
-4.807 -3.377 1.682
-5.994 7.777 -1.516
ATOMIC_POSITIONS angstrom
Tl -2.404 -1.689 0.841
Tl -5.401 2.200 0.083
Pd -3.999 -3.292 -1.077
Pd -6.996 0.597 -1.834
Pd -1.461 -1.509 -1.965
Pd -4.458 2.380 -2.722
Pd -8.168 3.253 0.147
Pd -5.823 -2.059 -3.816
Pd -3.286 -0.276 -4.704
Pd -5.631 5.035 -0.740
Zr 0.000 0.000 0.000
Zr -2.997 3.889 -0.758
Zr -4.822 5.121 -3.499
Zr -1.825 1.233 -2.740
Zr -7.226 3.432 -2.658
Zr -4.228 -0.456 -1.899

---

(9)
! ZrTlPd4, relaxed, DFT PBE; values from VASP
! ρ = 11.5 Mg/m³
&SYSTEM
  ibrav = 0, nat = 12, ntyp = 3
/
ATOMIC_SPECIES
Zr 91.22 Zr.upf
Tl 204.38 Tl.upf
Pd 106.42 Pd.upf
CELL_PARAMETERS angstrom
-3.260 3.075 -2.076
-4.538 -6.901 -3.096
-1.847 -0.808 4.509
ATOMIC_POSITIONS angstrom
Zr 0.000 0.000 0.000
Zr -3.899 -1.913 -2.586
Tl -2.553 1.133 1.216
Tl -3.192 -3.855 0.706
Pd -3.027 -4.603 -2.065
Pd -4.234 -0.424 2.954
Pd -4.073 -1.179 0.179
Pd -4.713 -6.166 -0.331
Pd -6.617 -0.032 1.402
Pd -5.410 -4.211 -3.617
Pd -5.571 -3.456 -0.843
Pd -4.932 1.532 -0.332

---

(10)
! Zr2TlPd, relaxed, DFT PBE; values from VASP
! ρ = 9.9 Mg/m³
&SYSTEM
  ibrav = 0, nat = 8, ntyp = 3
/
ATOMIC_SPECIES
Zr 91.22 Zr.upf
Tl 204.38 Tl.upf
Pd 106.42 Pd.upf
CELL_PARAMETERS angstrom
-0.993 -4.361 1.466
2.659 -1.768 -3.458
5.137 3.221 5.507
ATOMIC_POSITIONS angstrom
Zr 1.330 -0.884 -1.729
Zr -0.497 -2.181 0.733
Zr 4.270 0.112 3.226
Zr 2.534 -3.020 0.289
Tl 1.627 0.043 1.229
Tl 5.176 -2.951 2.286
Pd 4.315 -0.806 0.526
Pd 2.489 -2.102 2.988

---

(11)
! ZrTl3Pd, relaxed, DFT PBE; values from VASP
! ρ = 7.7 Mg/m³
&SYSTEM
  ibrav = 0, nat = 5, ntyp = 3
/
ATOMIC_SPECIES
Tl 204.38 Tl.upf
Zr 91.22 Zr.upf
Pd 106.42 Pd.upf
CELL_PARAMETERS angstrom
5.591 0.000 0.000
0.000 5.591 0.000
0.000 0.000 5.591
ATOMIC_POSITIONS angstrom
Tl 0.000 2.796 0.000
Tl 0.000 0.000 2.796
Tl 2.796 0.000 0.000
Zr 0.000 0.000 0.000
Pd 2.796 2.796 2.796

---

(12)
! Zr4TlPd, relaxed, DFT PBE; values from VASP
! ρ = 8.5 Mg/m³
&SYSTEM
  ibrav = 0, nat = 12, ntyp = 3
/
ATOMIC_SPECIES
Zr 91.22 Zr.upf
Tl 204.38 Tl.upf
Pd 106.42 Pd.upf
CELL_PARAMETERS angstrom
-3.779 2.224 3.501
-1.531 -6.280 2.336
4.844 0.618 4.836
ATOMIC_POSITIONS angstrom
Zr 2.860 -0.633 3.489
Zr 0.453 -5.029 3.683
Zr 0.247 -2.145 1.629
Zr 3.066 -3.517 5.544
Zr -0.058 -3.741 6.810
Zr -0.408 0.303 3.863
Zr -2.079 -2.820 4.044
Zr 1.612 -0.617 6.629
Tl -0.945 0.556 0.875
Tl -2.834 1.668 2.626
Pd 0.712 -2.275 4.461
Pd -1.178 -1.163 6.212

---

no.,E_form (eV per atom)
1,-0.28
2,-0.02
3,-0.30
4,-0.30
5,0.21
6,0.52
7,-0.14
8,-0.51
9,-0.45
10,-0.26
11,0.87
12,-0.19